This record from the Alexandria database describes InFe2SnO6 after structural relaxation. The functional is PBE+U.

Structure (extended XYZ):
```
10
Lattice="5.4005 0.0013 0.0229 2.7018 4.6690 0.0012 2.7194 1.5468 4.7583" Properties=species:S:1:pos:R:3 pbc="T T T"
In 8.1111 4.6639 2.7421
Fe 5.4103 3.1055 2.1047
Fe 2.7244 1.5531 4.4050
Sn 2.7045 1.5479 0.3188
O 4.5842 1.4921 1.2090
O 4.4349 4.6226 1.2217
O 7.2195 3.2101 1.2235
O 6.1541 4.4611 3.5879
O 6.2074 1.7924 3.5727
O 3.8575 3.0799 3.5904
```

Summary:
- Crystal system: triclinic
- Volume: 119.8 Å³/cell
- E: -62.8 eV/cell